Computed, not measured: a relaxed structure of La2InPd at the PBE-GGA level of DFT.

Cell: 4.0926 4.0926 8.9389 Å, 76.77 76.77 60.00°
Atoms (fractional coordinates):
In  0.5000  0.5000  0.5000
Pd  0.0000  0.0000  0.0000
La  0.2629  0.2629  0.2113
La  0.7371  0.7371  0.7887

Computed properties:
calculated total energy	-19.80	eV/cell
DOS at the Fermi energy	3.99	states/eV/cell
ΔH_f (0 K)	-0.50	eV/atom